VASP calculation (GGA-PBE) on a relaxed Na3H5C4O8 crystal.

```
Na3H5C4O8
1.0
3.569 0.000 0.000
1.585 8.431 0.000
0.430 3.349 7.887
Na H C O
3 5 4 8
Direct
0.000 0.000 0.000
0.277 0.469 0.831
0.723 0.531 0.169
0.088 0.162 0.620
0.440 0.142 0.352
0.500 0.500 0.500
0.560 0.858 0.648
0.912 0.838 0.380
0.110 0.725 0.373
0.396 0.190 0.211
0.604 0.810 0.789
0.890 0.275 0.627
0.142 0.705 0.236
0.291 0.623 0.514
0.300 0.352 0.133
0.448 0.079 0.147
0.552 0.921 0.853
0.700 0.648 0.867
0.709 0.377 0.486
0.858 0.295 0.764
```

Properties
For the calculated volume, the calculation gives 11.87 A^3/atom. The density comes out at 1.7 g/cm³. As for the total energy: -121.0 eV per cell. As for the space group: P-1.